# SnMo3H

SnMo3H after structural relaxation (PBE, Alexandria via LeMat-Bulk).

Output
E above lowest polymorph   2731 meV per atom
Volume   24.38 A^3/atom

a = 4.958 Å, b = 4.958 Å, c = 4.958 Å
α = 90.00°, β = 90.00°, γ = 90.00°
Fractional coordinates of all 5 atoms:
1 H 0.500 0.500 0.500
2 Sn 0.000 0.000 0.000
3 Mo 0.000 0.500 0.000
4 Mo 0.500 0.000 0.000
5 Mo 0.000 0.000 0.500